# Zn2In2I | Alexandria | PBE-GGA | optimized geometry
data_Zn2In2I
_chemical_formula_sum 'Zn4 In4 I2'
_space_group_name_H-M_alt 'I 4/m m m'
_space_group_IT_number 139
_space_group_name_Hall '-I 4 2'
_cell_length_a 3.911
_cell_length_b 3.911
_cell_length_c 17.672
_cell_angle_alpha 90.00
_cell_angle_beta 90.00
_cell_angle_gamma 90.00
loop_
_atom_site_label
_atom_site_fract_x
_atom_site_fract_y
_atom_site_fract_z
Zn1 0.000 0.500 0.250
In1 0.000 0.000 0.119
I1 0.000 0.000 0.500
# Total moment, μB/cell: 0.00
# Polymorph energy (0 for the lowest one), eV/atom: 0.000
# Formation energy without anion corrections, meV per atom: 46

=====

# Cs3Ba2TaO6 | Alexandria | PBE-GGA | optimized geometry
data_Cs3Ba2TaO6
_chemical_formula_sum 'Cs6 Ba4 Ta2 O12'
_space_group_name_H-M_alt 'C 1 2/m 1'
_space_group_IT_number 12
_cell_length_a 6.564
_cell_length_b 11.387
_cell_length_c 7.101
_cell_angle_alpha 90.00
_cell_angle_beta 107.41
_cell_angle_gamma 90.00
loop_
_space_group_symop_operation_xyz
'x,y,z'
'-x,-y,-z'
'-x,y,-z'
'x,-y,z'
'x+1/2,y+1/2,z'
'-x+1/2,-y+1/2,-z'
'-x+1/2,y+1/2,-z'
'x+1/2,-y+1/2,z'
loop_
_atom_site_label
_atom_site_fract_x
_atom_site_fract_y
_atom_site_fract_z
Cs1 0.000 0.000 0.000
Cs2 0.000 0.337 0.000
Ba1 0.000 0.167 0.500
Ta1 0.000 0.500 0.500
O1 0.186 0.371 0.669
O2 0.202 0.500 0.325
# Total moment, μB/cell: 0.00
# Formation energy without anion corrections, meV per atom: -2222

=====

# RbYHgS2 | Alexandria | PBE-GGA | optimized geometry
data_RbYHgS2
_chemical_formula_sum 'Rb1 Y1 Hg1 S2'
_space_group_name_H-M_alt 'P 4/m m m'
_space_group_IT_number 123
_space_group_name_Hall '-P 4 2'
_cell_length_a 5.622
_cell_length_b 5.622
_cell_length_c 5.449
_cell_angle_alpha 90.00
_cell_angle_beta 90.00
_cell_angle_gamma 90.00
loop_
_atom_site_label
_atom_site_fract_x
_atom_site_fract_y
_atom_site_fract_z
Rb1 0.000 0.000 0.000
Y1 0.500 0.500 0.500
Hg1 0.000 0.000 0.500
S1 0.000 0.500 0.000
# Total moment, μB/cell: 0.00
# Formation energy without anion corrections, meV per atom: 456

=====

# Rb2NpSbTe4 | Alexandria | PBE-GGA | optimized geometry
data_Rb2NpSbTe4
_chemical_formula_sum 'Rb2 Np1 Sb1 Te4'
_space_group_name_H-M_alt 'P 1 2/m 1'
_space_group_IT_number 10
_cell_length_a 8.023
_cell_length_b 4.595
_cell_length_c 8.886
_cell_angle_alpha 90.00
_cell_angle_beta 107.28
_cell_angle_gamma 90.00
loop_
_space_group_symop_operation_xyz
'x,y,z'
'-x,-y,-z'
'-x,y,-z'
'x,-y,z'
loop_
_atom_site_label
_atom_site_fract_x
_atom_site_fract_y
_atom_site_fract_z
Rb1 0.000 0.000 0.000
Rb2 0.500 0.500 0.000
Np1 0.000 0.500 0.500
Sb1 0.500 0.000 0.500
Te1 0.234 0.000 0.698
Te2 0.270 0.500 0.303
# Total moment, μB/cell: 3.99
# Formation energy without anion corrections, meV per atom: -688

=====

# MnSi2Ru | Alexandria | PBE-GGA | optimized geometry
data_MnSi2Ru
_chemical_formula_sum 'Mn1 Si2 Ru1'
_space_group_name_H-M_alt 'P 4 m m'
_space_group_IT_number 99
_cell_length_a 2.668
_cell_length_b 2.668
_cell_length_c 7.328
_cell_angle_alpha 90.00
_cell_angle_beta 90.00
_cell_angle_gamma 90.00
loop_
_space_group_symop_operation_xyz
'x,y,z'
'-y,x,z'
'-x,-y,z'
'y,-x,z'
'-x,y,z'
'y,x,z'
'x,-y,z'
'-y,-x,z'
loop_
_atom_site_label
_atom_site_fract_x
_atom_site_fract_y
_atom_site_fract_z
Mn1 0.000 0.000 0.000
Si1 0.000 0.000 0.472
Si2 0.500 0.500 0.779
Ru1 0.500 0.500 0.224
# Total moment, μB/cell: 0.00
# Formation energy without anion corrections, meV per atom: -15

=====

# BiSbTe2N | Alexandria | PBE-GGA | optimized geometry
data_BiSbTe2N
_chemical_formula_sum 'Bi1 Sb1 Te2 N1'
_space_group_name_H-M_alt 'P 4/m m m'
_space_group_IT_number 123
_space_group_name_Hall '-P 4 2'
_cell_length_a 5.960
_cell_length_b 5.960
_cell_length_c 4.298
_cell_angle_alpha 90.00
_cell_angle_beta 90.00
_cell_angle_gamma 90.00
loop_
_atom_site_label
_atom_site_fract_x
_atom_site_fract_y
_atom_site_fract_z
Bi1 0.000 0.000 0.000
Sb1 0.500 0.500 0.500
Te1 0.000 0.500 0.000
N1 0.000 0.000 0.500
# Total moment, μB/cell: 0.94
# Polymorph energy (0 for the lowest one), eV/atom: 0.430
# Formation energy without anion corrections, meV per atom: 1000

=====

# CaTcSb2Te | Alexandria | PBE-GGA | optimized geometry
data_CaTcSb2Te
_chemical_formula_sum 'Ca1 Tc1 Sb2 Te1'
_space_group_name_H-M_alt 'P 4/m m m'
_space_group_IT_number 123
_space_group_name_Hall '-P 4 2'
_cell_length_a 5.014
_cell_length_b 5.014
_cell_length_c 6.178
_cell_angle_alpha 90.00
_cell_angle_beta 90.00
_cell_angle_gamma 90.00
loop_
_atom_site_label
_atom_site_fract_x
_atom_site_fract_y
_atom_site_fract_z
Ca1 0.000 0.000 0.000
Tc1 0.500 0.500 0.500
Sb1 0.000 0.500 0.500
Te1 0.500 0.500 0.000
# Total moment, μB/cell: 0.00
# Polymorph energy (0 for the lowest one), eV/atom: 0.000
# Formation energy without anion corrections, meV per atom: -8

=====

# RbBa2AsBr8 | Alexandria | PBE-GGA | optimized geometry
data_RbBa2AsBr8
_chemical_formula_sum 'Rb1 Ba2 As1 Br8'
_space_group_name_H-M_alt 'P -1'
_space_group_IT_number 2
_cell_length_a 7.009
_cell_length_b 7.085
_cell_length_c 9.907
_cell_angle_alpha 90.13
_cell_angle_beta 90.04
_cell_angle_gamma 91.04
loop_
_space_group_symop_operation_xyz
'x,y,z'
'-x,-y,-z'
loop_
_atom_site_label
_atom_site_fract_x
_atom_site_fract_y
_atom_site_fract_z
Rb1 0.000 0.000 0.000
Ba1 0.499 0.499 0.741
As1 0.000 0.000 0.500
Br1 0.133 0.775 0.304
Br2 0.136 0.778 0.696
Br3 0.325 0.216 0.499
Br4 0.405 0.250 0.000
# Total moment, μB/cell: 0.00
# Formation energy without anion corrections, meV per atom: -1463

=====

# V2PHAu | Alexandria | PBE-GGA | optimized geometry
data_V2PHAu
_chemical_formula_sum 'V2 P1 H1 Au1'
_space_group_name_H-M_alt 'P 4/m m m'
_space_group_IT_number 123
_space_group_name_Hall '-P 4 2'
_cell_length_a 5.016
_cell_length_b 5.016
_cell_length_c 3.310
_cell_angle_alpha 90.00
_cell_angle_beta 90.00
_cell_angle_gamma 90.00
loop_
_atom_site_label
_atom_site_fract_x
_atom_site_fract_y
_atom_site_fract_z
V1 0.000 0.500 0.000
P1 0.000 0.000 0.500
H1 0.500 0.500 0.500
Au1 0.500 0.500 0.000
# E, eV/cell: -26.19
# Total moment, μB/cell: 5.89

=====

# V5ReOs4 | Alexandria | PBE-GGA | optimized geometry
data_V5ReOs4
_chemical_formula_sum 'V5 Re1 Os4'
_space_group_name_H-M_alt 'P 4/m m m'
_space_group_IT_number 123
_space_group_name_Hall '-P 4 2'
_cell_length_a 3.020
_cell_length_b 3.020
_cell_length_c 15.174
_cell_angle_alpha 90.00
_cell_angle_beta 90.00
_cell_angle_gamma 90.00
loop_
_atom_site_label
_atom_site_fract_x
_atom_site_fract_y
_atom_site_fract_z
V1 0.000 0.000 0.000
V2 0.000 0.000 0.200
V3 0.000 0.000 0.402
Re1 0.500 0.500 0.500
Os1 0.500 0.500 0.099
Os2 0.500 0.500 0.299
# DFT formation energy, meV/atom: -266.3
# Total moment, μB/cell: 0.00

=====

# MgInSb2 | Alexandria | PBE-GGA | optimized geometry
data_MgInSb2
_chemical_formula_sum 'Mg3 In3 Sb6'
_space_group_name_H-M_alt 'R -3 m'
_space_group_IT_number 166
_space_group_name_Hall '-R 3 2"'
_cell_length_a 3.4442
_cell_length_b 3.4442
_cell_length_c 31.3154
_cell_angle_alpha 90.00
_cell_angle_beta 90.00
_cell_angle_gamma 120.00
loop_
_atom_site_label
_atom_site_fract_x
_atom_site_fract_y
_atom_site_fract_z
Mg1 0.0000 0.0000 0.0000
In1 0.0000 0.0000 0.5000
Sb1 0.0000 0.0000 0.2604
# Total moment, μB/cell: 0.00
# Polymorph energy (0 for the lowest one), eV/atom: 0.042
# Formation energy without anion corrections, meV per atom: -45

=====

# CaIn4Pb7 | Alexandria | PBE-GGA | optimized geometry
data_CaIn4Pb7
_chemical_formula_sum 'Ca2 In8 Pb14'
_space_group_name_H-M_alt 'C 1 2/m 1'
_space_group_IT_number 12
_cell_length_a 12.989
_cell_length_b 6.062
_cell_length_c 11.387
_cell_angle_alpha 90.00
_cell_angle_beta 120.52
_cell_angle_gamma 90.00
loop_
_space_group_symop_operation_xyz
'x,y,z'
'-x,-y,-z'
'-x,y,-z'
'x,-y,z'
'x+1/2,y+1/2,z'
'-x+1/2,-y+1/2,-z'
'-x+1/2,y+1/2,-z'
'x+1/2,-y+1/2,z'
loop_
_atom_site_label
_atom_site_fract_x
_atom_site_fract_y
_atom_site_fract_z
Ca1 0.000 0.000 0.000
In1 0.064 0.500 0.763
In2 0.215 0.500 0.312
Pb1 0.000 0.500 0.000
Pb2 0.047 0.000 0.387
Pb3 0.170 0.500 0.567
Pb4 0.212 0.000 0.911
# DFT formation energy, meV/atom: 42.2
# Total moment, μB/cell: 0.00

=====

no.,calculated volume (Å³/atom)
1,27.03
2,21.10
3,34.45
4,39.10
5,13.04
6,30.54
7,31.06
8,40.99
9,16.65
10,13.84
11,26.81
12,32.18